1.
Computed, not measured: an optimized crystal structure of La3Sm6Dy2Tm at the PBE level of DFT.

Unit cell a=6.2969 b=6.2969 c=12.0527 alpha=95.01 beta=95.01 gamma=120.04
Fractional coordinates of all 12 atoms:
1 Sm 0.2518 0.2518 0.7565
2 Sm 0.7482 0.7482 0.2435
3 La 0.1668 0.8332 0.5000
4 Sm 0.0810 0.4139 0.2434
5 Dy 0.3334 0.6666 0.0000
6 Sm 0.5861 0.9190 0.7566
7 Tm 0.0000 0.0000 0.0000
8 La 0.5000 0.5000 0.5000
9 La 0.8332 0.1668 0.5000
10 Dy 0.6666 0.3334 0.0000
11 Sm 0.4139 0.0810 0.2434
12 Sm 0.9190 0.5861 0.7566

Results
- Formation enthalpy at 0 K: 0.02 eV per atom
- Electronic total energy: -4.71 eV/atom
- Size of the total moment: 0.00 Bohr magnetons per cell
- V: 407 Å³ per cell
- Space-group type: C2/m (12)
- Crystal system: monoclinic

---

2.
Computed, not measured: an optimized crystal structure of Te2PIO at the PBE level of DFT.

Unit cell a=4.4179 b=4.4179 c=7.4049 alpha=90.00 beta=90.00 gamma=90.00
Last column: magnetic moment on the atom in μB.
Fractional coordinates of all 5 atoms:
1 Te 0.5000 0.0000 0.0000  0.07
2 P 0.5000 0.5000 0.5000  0.48
3 O 0.0000 0.0000 0.0000  0.02
4 Te 0.0000 0.5000 0.0000  0.07
5 I 0.0000 0.0000 0.5000  0.03

Results
- Uncorrected formation energy: 0.552 eV per atom
- Electronic total energy: -3.09 eV/atom
- Size of the total moment: 1.40 Bohr magnetons per cell
- V: 145 Å³ per cell
- Space-group type: P4/mmm (123)
- Crystal system: tetragonal